Entry 1:
A relaxed RbAl2Zn2 crystal. Source: Alexandria, functional GGA-PBE.

Formation energy   207.2 meV/atom
Magnetization   0.00 μB per formula unit
Space group   P4/mbm (127)
E_tot   -1.993 eV/atom
Distance to the lowest polymorph of the same formula   8.6 kJ/mol of atoms

```
10
Lattice="8.694 0.000 0.000 0.000 8.694 0.000 0.000 0.000 2.841" Properties=species:S:1:pos:R:3 pbc="T T T"
Zn 1.348 5.695 1.421
Zn 5.695 7.346 1.421
Zn 7.346 2.999 1.421
Zn 2.999 1.348 1.421
Al 3.225 7.572 0.000
Al 7.572 5.468 0.000
Al 5.468 1.121 0.000
Al 1.121 3.225 0.000
Rb 0.000 0.000 0.000
Rb 4.347 4.347 0.000
```

Entry 2:
A relaxed Er8PdPt2 crystal. Source: Alexandria, functional GGA-PBE.

Formation energy   -571.6 meV/atom
Magnetization   0.00 μB per formula unit
Space group   Cm (8)
E_tot   -5.460 eV/atom
Distance to the lowest polymorph of the same formula   8.7 kJ/mol of atoms

```
11
Lattice="5.698 0.066 -0.952 -1.883 6.801 -2.877 -0.050 -0.123 7.619" Properties=species:S:1:pos:R:3 pbc="T T T"
Er 2.681 2.329 -0.898
Er 3.150 0.559 1.784
Er 0.261 2.469 1.583
Er 5.183 1.490 4.363
Er 4.162 5.348 -1.484
Er 3.379 4.307 2.251
Er 0.424 6.221 2.062
Er 0.893 4.450 4.747
Pd 0.684 0.043 -0.091
Pt 1.468 4.725 -0.092
Pt 2.172 2.067 3.937
```

Entry 3:
A relaxed Cs3Pu3ZnSe8 crystal. Source: Alexandria, functional GGA-PBE.

Formation energy without anion corrections   -1205 meV per atom
Magnetization   13.00 μB per formula unit
Space group   C2/m (12)
E_tot   -6.185 eV/atom

```
15
Lattice="8.674 0.000 0.000 -4.337 7.095 0.070 0.000 -4.577 8.374" Properties=species:S:1:pos:R:3 pbc="T T T"
Cs 0.000 0.000 0.000
Cs -2.169 3.548 0.035
Cs 2.169 3.548 0.035
Pu 4.337 -2.289 4.187
Pu 2.169 1.259 4.222
Pu -2.169 1.259 4.222
Zn 0.000 -2.289 4.187
Se 0.000 2.405 2.685
Se 4.337 0.113 5.759
Se 4.337 2.755 2.900
Se 0.000 -0.237 5.544
Se 6.327 -1.033 2.620
Se -1.990 3.551 5.825
Se 2.348 -1.033 2.620
Se 1.990 3.551 5.825
```